Below is a geometry-optimized CaBi3Pt structure, with properties calculated at the PBE level.

Cell and atoms, written as extended XYZ:
```
5
Lattice="5.681 0.000 0.000 0.000 5.681 0.000 0.000 0.000 5.681" Properties=species:S:1:pos:R:3 pbc="T T T"
Ca 0.000 0.000 0.000
Bi 0.000 0.000 2.841
Bi 0.000 2.841 0.000
Bi 2.841 0.000 0.000
Pt 2.841 2.841 2.841
```

## Properties
**Energy above the lowest structure with this stoichiometry**: 1076 meV/atom
**Crystal system**: cubic
**Total magnetic moment**: 0.00 μB per cell
**Space group**: No. 221

Below is a geometry-optimized Ca2BiPt structure, with properties calculated at the PBE level.

Cell and atoms, written as extended XYZ:
```
8
Lattice="6.524 0.000 0.000 0.000 4.471 0.000 0.000 0.000 8.538" Properties=species:S:1:pos:R:3 pbc="T T T"
Ca 1.631 0.000 1.237
Ca 1.631 2.236 6.184
Ca 4.893 0.000 7.301
Ca 4.893 2.236 2.354
Bi 0.000 0.000 4.269
Bi 3.262 0.000 4.269
Pt 1.631 2.236 3.069
Pt 4.893 2.236 5.469
```

## Properties
**Crystal system**: orthorhombic
**Total magnetic moment**: 0.00 μB per cell
**Space group**: No. 51

Below is a geometry-optimized Ca3Bi3Pt2 structure, with properties calculated at the PBE level.

Cell and atoms, written as extended XYZ:
```
16
Lattice="2.361 -5.677 0.000 2.361 5.677 0.000 0.000 0.000 15.987" Properties=species:S:1:pos:R:3 pbc="T T T"
Ca 2.361 4.761 9.789
Ca 2.361 4.761 14.191
Ca 2.361 1.622 11.990
Ca 2.361 -1.622 3.997
Ca 2.361 -4.761 1.796
Ca 2.361 -4.761 6.198
Bi 2.361 1.731 3.997
Bi 2.361 1.515 8.504
Bi 2.361 1.515 15.476
Bi 2.361 -1.515 0.511
Bi 2.361 -1.515 7.482
Bi 2.361 -1.731 11.990
Pt 2.361 3.463 1.780
Pt 2.361 3.463 6.214
Pt 2.361 -3.463 9.773
Pt 2.361 -3.463 14.207
```

## Properties
**Energy above the lowest structure with this stoichiometry**: 0 meV/atom
**Crystal system**: orthorhombic
**Total magnetic moment**: 0.00 μB per cell
**Space group**: No. 63

Below is a geometry-optimized CaBi3Pt structure, with properties calculated at the PBE level.

Cell and atoms, written as extended XYZ:
```
5
Lattice="5.510 0.000 0.000 0.000 5.510 0.000 0.000 0.000 5.510" Properties=species:S:1:pos:R:3 pbc="T T T"
Ca 0.000 0.000 0.000
Bi 0.000 2.755 2.755
Bi 2.755 0.000 2.755
Bi 2.755 2.755 0.000
Pt 2.755 2.755 2.755
```

## Properties
**Energy above the lowest structure with this stoichiometry**: 0 meV/atom
**Crystal system**: cubic
**Total magnetic moment**: 0.00 μB per cell
**Space group**: No. 221

Below is a geometry-optimized CaBi12Pt4 structure, with properties calculated at the PBE level.

Cell and atoms, written as extended XYZ:
```
17
Lattice="-5.017 5.017 5.017 5.017 -5.017 5.017 5.017 5.017 -5.017" Properties=species:S:1:pos:R:3 pbc="T T T"
Ca 0.000 0.000 0.000
Bi 3.375 1.589 0.000
Bi 6.660 1.589 0.000
Bi 5.017 -1.642 3.428
Bi 3.428 5.017 -1.642
Bi 1.589 0.000 3.375
Bi 0.000 3.375 1.589
Bi 5.017 1.642 3.428
Bi 3.428 5.017 1.642
Bi 1.589 0.000 6.660
Bi 0.000 6.660 1.589
Bi -1.642 3.428 5.017
Bi 1.642 3.428 5.017
Pt 2.509 2.509 -2.509
Pt 2.509 -2.509 2.509
Pt -2.509 2.509 2.509
Pt 2.509 2.509 2.509
```

## Properties
**Crystal system**: cubic
**Total magnetic moment**: 0.00 μB per cell
**Space group**: No. 204

Below is a geometry-optimized Ca8BiPt2 structure, with properties calculated at the PBE level.

Cell and atoms, written as extended XYZ:
```
11
Lattice="4.618 -6.771 0.000 4.618 6.771 0.000 -1.303 0.000 5.537" Properties=species:S:1:pos:R:3 pbc="T T T"
Ca 1.065 1.841 3.223
Ca 4.618 3.425 0.000
Ca 1.065 -1.841 3.223
Ca 3.273 0.000 1.138
Ca 4.659 0.000 4.399
Ca 6.867 1.841 2.313
Ca 4.618 -3.425 0.000
Ca 6.867 -1.841 2.313
Bi 0.000 0.000 0.000
Pt 3.966 2.491 2.768
Pt 3.966 -2.491 2.768
```

## Properties
**Crystal system**: monoclinic
**Total magnetic moment**: 0.00 μB per cell
**Space group**: No. 12

Number 1: DOS(E_F) 5.357 states/eV/f.u., energy of formation 1.04 eV/atom. Number 2: DOS(E_F) 2.221 states/eV/f.u., energy of formation -0.51 eV/atom. Number 3: DOS(E_F) 3.496 states/eV/f.u., energy of formation -0.75 eV/atom. Number 4: DOS(E_F) 6.485 states/eV/f.u., energy of formation -0.04 eV/atom. Number 5: DOS(E_F) 10.235 states/eV/f.u., energy of formation -0.24 eV/atom. Number 6: DOS(E_F) 6.450 states/eV/f.u., energy of formation -0.60 eV/atom.